# 1
# PBE-GGA Rb5ZrTe4, relaxed
# D(E_F) ... 6.3 states/eV/cell
# Final energy ... -3.39 eV/atom
data_Rb5ZrTe4
_space_group_name_H-M_alt 'C 1 2/m 1'
_space_group_IT_number 12
_cell_length_a 21.2551
_cell_length_b 4.6926
_cell_length_c 9.7200
_cell_angle_alpha 90.00
_cell_angle_beta 99.20
_cell_angle_gamma 90.00
loop_
_space_group_symop_operation_xyz
'x,y,z'
'-x,-y,-z'
'-x,y,-z'
'x,-y,z'
'x+1/2,y+1/2,z'
'-x+1/2,-y+1/2,-z'
'-x+1/2,y+1/2,-z'
'x+1/2,-y+1/2,z'
loop_
_atom_site_label
_atom_site_type_symbol
_atom_site_fract_x
_atom_site_fract_y
_atom_site_fract_z
Rb1 Rb 0.0000 0.0000 0.0000
Rb2 Rb 0.1547 0.5000 0.8371
Rb3 Rb 0.1809 0.5000 0.3410
Zr1 Zr 0.0000 0.0000 0.5000
Te1 Te 0.0099 0.5000 0.2973
Te2 Te 0.1385 0.0000 0.5742



# 2
# PBE-GGA Rb4Zr3Te16, relaxed
# Final energy ... -4.19 eV/atom
data_Rb4Zr3Te16
_space_group_name_H-M_alt 'C 1 2/c 1'
_space_group_IT_number 15
_cell_length_a 12.1395
_cell_length_b 19.2515
_cell_length_c 15.5778
_cell_angle_alpha 90.00
_cell_angle_beta 101.72
_cell_angle_gamma 90.00
loop_
_space_group_symop_operation_xyz
'x,y,z'
'-x,-y,-z'
'-x,y,-z+1/2'
'x,-y,z+1/2'
'x+1/2,y+1/2,z'
'-x+1/2,-y+1/2,-z'
'-x+1/2,y+1/2,-z+1/2'
'x+1/2,-y+1/2,z+1/2'
loop_
_atom_site_label
_atom_site_type_symbol
_atom_site_fract_x
_atom_site_fract_y
_atom_site_fract_z
Rb1 Rb 0.1067 0.1485 0.4339
Rb2 Rb 0.1188 0.3646 0.8745
Zr1 Zr 0.0000 0.3873 0.2500
Zr2 Zr 0.1784 0.1175 0.7705
Te1 Te 0.0112 0.0676 0.8731
Te2 Te 0.0460 0.3502 0.4397
Te3 Te 0.1238 0.4595 0.1285
Te4 Te 0.1452 0.2424 0.6614
Te5 Te 0.1470 0.1824 0.9380
Te6 Te 0.1495 0.2685 0.2165
Te7 Te 0.1873 0.0369 0.2434
Te8 Te 0.1974 0.4475 0.3692



# 3
# PBE-GGA RbZr3Te, relaxed
# D(E_F) ... 8.7 states/eV/cell
# Excess energy over the best structure of this formula in the dataset ... 1.116 eV per atom
data_RbZr3Te
_space_group_name_H-M_alt 'P m -3 m'
_space_group_IT_number 221
_space_group_name_Hall '-P 4 2 3'
_cell_length_a 5.1080
_cell_length_b 5.1080
_cell_length_c 5.1080
_cell_angle_alpha 90.00
_cell_angle_beta 90.00
_cell_angle_gamma 90.00
loop_
_atom_site_label
_atom_site_type_symbol
_atom_site_fract_x
_atom_site_fract_y
_atom_site_fract_z
Rb1 Rb 0.0000 0.0000 0.0000
Zr1 Zr 0.0000 0.0000 0.5000
Te1 Te 0.5000 0.5000 0.5000



# 4
# PBE-GGA RbZr2Te4, relaxed
# D(E_F) ... 6.4 states/eV/cell
# Excess energy over the best structure of this formula in the dataset ... 0.000 eV per atom
data_RbZr2Te4
_space_group_name_H-M_alt 'C 1 2/m 1'
_space_group_IT_number 12
_cell_length_a 19.5462
_cell_length_b 4.0839
_cell_length_c 6.9450
_cell_angle_alpha 90.00
_cell_angle_beta 109.71
_cell_angle_gamma 90.00
loop_
_space_group_symop_operation_xyz
'x,y,z'
'-x,-y,-z'
'-x,y,-z'
'x,-y,z'
'x+1/2,y+1/2,z'
'-x+1/2,-y+1/2,-z'
'-x+1/2,y+1/2,-z'
'x+1/2,-y+1/2,z'
loop_
_atom_site_label
_atom_site_type_symbol
_atom_site_fract_x
_atom_site_fract_y
_atom_site_fract_z
Rb1 Rb 0.0000 0.0000 0.0000
Zr1 Zr 0.2499 0.0000 0.2565
Te1 Te 0.1520 0.0000 0.4956
Te2 Te 0.1546 0.5000 0.9925



# 5
# PBE-GGA RbZr3Te, relaxed
# D(E_F) ... 4.9 states/eV/cell
# Excess energy over the best structure of this formula in the dataset ... 0.000 eV per atom
data_RbZr3Te
_space_group_name_H-M_alt 'P m -3 m'
_space_group_IT_number 221
_space_group_name_Hall '-P 4 2 3'
_cell_length_a 5.4819
_cell_length_b 5.4819
_cell_length_c 5.4819
_cell_angle_alpha 90.00
_cell_angle_beta 90.00
_cell_angle_gamma 90.00
loop_
_atom_site_label
_atom_site_type_symbol
_atom_site_fract_x
_atom_site_fract_y
_atom_site_fract_z
Rb1 Rb 0.0000 0.0000 0.0000
Zr1 Zr 0.0000 0.5000 0.5000
Te1 Te 0.5000 0.5000 0.5000



# 6
# PBE-GGA Rb3ZrTe3, relaxed
# Final energy ... -3.97 eV/atom
data_Rb3ZrTe3
_space_group_name_H-M_alt 'C 1 2/m 1'
_space_group_IT_number 12
_cell_length_a 9.8125
_cell_length_b 15.0473
_cell_length_c 9.0865
_cell_angle_alpha 90.00
_cell_angle_beta 105.33
_cell_angle_gamma 90.00
loop_
_space_group_symop_operation_xyz
'x,y,z'
'-x,-y,-z'
'-x,y,-z'
'x,-y,z'
'x+1/2,y+1/2,z'
'-x+1/2,-y+1/2,-z'
'-x+1/2,y+1/2,-z'
'x+1/2,-y+1/2,z'
loop_
_atom_site_label
_atom_site_type_symbol
_atom_site_fract_x
_atom_site_fract_y
_atom_site_fract_z
Rb1 Rb 0.0000 0.1693 0.0000
Rb2 Rb 0.0000 0.2705 0.5000
Rb3 Rb 0.1043 0.5000 0.8675
Zr1 Zr 0.1481 0.0000 0.6370
Te1 Te 0.1273 0.0000 0.3205
Te2 Te 0.2106 0.3486 0.2229



# 7
# PBE-GGA Rb2ZrTe3, relaxed
# Final energy ... -4.34 eV/atom
data_Rb2ZrTe3
_space_group_name_H-M_alt 'P 1 21/c 1'
_space_group_IT_number 14
_cell_length_a 10.0158
_cell_length_b 14.5141
_cell_length_c 6.9820
_cell_angle_alpha 90.00
_cell_angle_beta 107.73
_cell_angle_gamma 90.00
loop_
_space_group_symop_operation_xyz
'x,y,z'
'-x,-y,-z'
'-x,y+1/2,-z+1/2'
'x,-y+1/2,z+1/2'
loop_
_atom_site_label
_atom_site_type_symbol
_atom_site_fract_x
_atom_site_fract_y
_atom_site_fract_z
Rb1 Rb 0.0932 0.1377 0.0757
Rb2 Rb 0.3589 0.0434 0.6791
Zr1 Zr 0.2990 0.7491 0.3342
Te1 Te 0.1019 0.6487 0.0122
Te2 Te 0.2707 0.5873 0.5893
Te3 Te 0.4695 0.1924 0.2983



# 8
# PBE-GGA Rb2ZrTe6, relaxed
# D(E_F) ... 2.9 states/eV/cell
# Final energy ... -3.85 eV/atom
data_Rb2ZrTe6
_space_group_name_H-M_alt 'C 1 2/m 1'
_space_group_IT_number 12
_cell_length_a 15.8279
_cell_length_b 9.3398
_cell_length_c 5.2241
_cell_angle_alpha 90.00
_cell_angle_beta 91.97
_cell_angle_gamma 90.00
loop_
_space_group_symop_operation_xyz
'x,y,z'
'-x,-y,-z'
'-x,y,-z'
'x,-y,z'
'x+1/2,y+1/2,z'
'-x+1/2,-y+1/2,-z'
'-x+1/2,y+1/2,-z'
'x+1/2,-y+1/2,z'
loop_
_atom_site_label
_atom_site_type_symbol
_atom_site_fract_x
_atom_site_fract_y
_atom_site_fract_z
Rb1 Rb 0.1813 0.0000 0.1196
Zr1 Zr 0.0000 0.5000 0.5000
Te1 Te 0.0000 0.3168 0.0000
Te2 Te 0.1330 0.2888 0.6196